Entry 1:
Density functional theory data (GGA-PBE) for a geometry-optimized InIr2Pt structure.

The value obtained for the mass density is 18.03 g/cm3. The total magnetization is 0.0 μB/f.u. Its formation energy is -29 meV/atom. The value obtained for the density of states at the Fermi level is 2.73 states/eV/f.u.

Cell: 4.8309 2.8586 4.8551 Å, 90.00 107.50 90.00°
Last column: nearest neighbours and their distance in Å.
Element x y z (fractional)
In: 0.0000 0.0000 0.0000  6 Ir 2.81-2.86, 4 Pt 2.82, 2 In 2.86
Ir: 0.5000 0.0000 0.5000  4 Pt 2.81, 6 Ir 2.82-2.86, 2 In 2.86
Ir: 0.5000 0.5000 0.0000  4 In 2.81, 6 Ir 2.82-2.86, 2 Pt 2.86
Pt: 0.0000 0.5000 0.5000  6 Ir 2.81-2.86, 4 In 2.82, 2 Pt 2.86

=====

Entry 2:
Density functional theory data (GGA-PBE) for a geometry-optimized Na3HfCr2S6 structure.

The value obtained for the mass density is 3.95 g/cm3. The total magnetization is 6.8 μB/f.u. As for the uncorrected formation energy: -1.1119 eV/atom. The value obtained for the density of states at the Fermi level is 5.68 states/eV/f.u.

Cell: 6.3169 6.3169 6.9454 Å, 98.71 98.71 120.01°
Last column: nearest neighbours and their distance in Å.
Element x y z (fractional)
Na: 0.0000 0.0000 0.0000  6 S 2.82-2.88
Na: 0.3339 0.6661 0.0000  6 S 2.83-2.88
Na: 0.6661 0.3339 0.0000  6 S 2.83-2.88
Hf: 0.5000 0.5000 0.5000  6 S 2.55-2.56
Cr: 0.1669 0.8331 0.5000  6 S 2.50
Cr: 0.8331 0.1669 0.5000  6 S 2.50
S: 0.0900 0.4305 0.2921  2 Cr 2.50, 1 Hf 2.55
S: 0.2285 0.2285 0.7081  2 Cr 2.50, 1 Hf 2.56
S: 0.4305 0.0900 0.2921  2 Cr 2.50, 1 Hf 2.55
S: 0.5695 0.9100 0.7079  2 Cr 2.50, 1 Hf 2.55
S: 0.7715 0.7715 0.2919  2 Cr 2.50, 1 Hf 2.56
S: 0.9100 0.5695 0.7079  2 Cr 2.50, 1 Hf 2.55

=====

Entry 3:
Density functional theory data (GGA-PBE) for a geometry-optimized SiSb2 structure.

The value obtained for the mass density is 5.92 g/cm3. The total magnetization is 0.0 μB/f.u. As for the uncorrected formation energy: 0.3591 eV/atom. Its polymorph energy (0 for the lowest one) is 178.2 meV per atom. The value obtained for the density of states at the Fermi level is 1.62 states/eV/f.u.

Cell: 10.5617 10.5617 3.9331 Å, 90.00 90.00 159.67°
Last column: nearest neighbours and their distance in Å.
Element x y z (fractional)
Si: 0.1093 0.8907 0.7500  6 Sb 2.76-2.88
Si: 0.8907 0.1093 0.2500  6 Sb 2.76-2.88
Sb: 0.2927 0.7073 0.2500  2 Si 2.76
Sb: 0.4377 0.5623 0.7500  4 Si 2.88
Sb: 0.5623 0.4377 0.2500  4 Si 2.88
Sb: 0.7073 0.2927 0.7500  2 Si 2.76

=====

Entry 4:
Density functional theory data (GGA-PBE) for a geometry-optimized ZrAl2Zn structure.

The value obtained for the mass density is 4.99 g/cm3. The total magnetization is 0.0 μB/f.u. Its formation energy is -224 meV/atom. The value obtained for the density of states at the Fermi level is 1.39 states/eV/f.u.

Cell: 3.1956 3.1956 6.8954 Å, 90.00 90.00 95.02°
Last column: nearest neighbours and their distance in Å.
Element x y z (fractional)
Zr: 0.0000 0.0000 0.0000  8 Al 2.90-3.05, 4 Zr 3.20
Al: 0.5000 0.5000 0.2805  4 Zn 2.64-2.80, 2 Zr 2.90
Al: 0.5000 0.5000 0.7195  4 Zn 2.64-2.80, 2 Zr 2.90
Zn: 0.0000 0.0000 0.5000  8 Al 2.64-2.80